No. 1
## Pm2PdC (PBE)

Data for Pm2PdC after structural relaxation.

The structure in CIF format:
```
data_Pm2PdC
_chemical_formula_sum 'Pm2 Pd1 C1'
_space_group_name_H-M_alt 'P 4/m m m'
_space_group_IT_number 123
_space_group_name_Hall '-P 4 2'
_cell_length_a 3.314
_cell_length_b 3.314
_cell_length_c 7.005
_cell_angle_alpha 90.00
_cell_angle_beta 90.00
_cell_angle_gamma 90.00
loop_
_atom_site_label
_atom_site_fract_x
_atom_site_fract_y
_atom_site_fract_z
_atom_site_occupancy
Pm1 0.000 0.000 0.204 1
Pd1 0.500 0.500 0.500 1
C1 0.500 0.500 0.000 1
```

E (eV per atom): -6.07
Excess energy over the best structure of this formula in the dataset (meV/atom): 0
Density of states at the Fermi level (states/eV per atom): 0.42
Formation enthalpy at 0 K (eV/atom): -0.09

***

No. 2
## Pm2PdC (PBE)

Data for Pm2PdC after structural relaxation.

The structure in CIF format:
```
data_Pm2PdC
_chemical_formula_sum 'Pm6 Pd3 C3'
_space_group_name_H-M_alt 'R -3 m'
_space_group_IT_number 166
_space_group_name_Hall '-R 3 2"'
_cell_length_a 3.5901
_cell_length_b 3.5901
_cell_length_c 25.0565
_cell_angle_alpha 90.00
_cell_angle_beta 90.00
_cell_angle_gamma 120.00
loop_
_atom_site_label
_atom_site_fract_x
_atom_site_fract_y
_atom_site_fract_z
_atom_site_occupancy
Pm1 0.0000 0.0000 0.1101 1
Pd1 0.0000 0.0000 0.0000 1
C1 0.0000 0.0000 0.5000 1
```

E (eV per atom): -6.01
Excess energy over the best structure of this formula in the dataset (meV/atom): 56
Density of states at the Fermi level (states/eV per atom): 0.49
Formation enthalpy at 0 K (eV/atom): -0.04

***

No. 3
## Pr12Pd3C5 (PBE)

Data for Pr12Pd3C5 after structural relaxation.

The structure in CIF format:
```
data_Pr12Pd3C5
_chemical_formula_sum 'Pr96 Pd24 C40'
_space_group_name_H-M_alt 'I a -3 d'
_space_group_IT_number 230
_space_group_name_Hall '-I 4bd 2c 3'
_cell_length_a 16.224
_cell_length_b 16.224
_cell_length_c 16.224
_cell_angle_alpha 90.00
_cell_angle_beta 90.00
_cell_angle_gamma 90.00
loop_
_atom_site_label
_atom_site_fract_x
_atom_site_fract_y
_atom_site_fract_z
_atom_site_occupancy
Pr1 0.030 0.056 0.650 1
Pd1 0.000 0.250 0.125 1
C1 0.000 0.000 0.000 1
C2 0.000 0.250 0.375 1
```

E (eV per atom): -6.04
Density of states at the Fermi level (states/eV per atom): 0.80
Formation enthalpy at 0 K (eV/atom): -0.09

***

No. 4
## Pr6Pd2C (PBE)

Data for Pr6Pd2C after structural relaxation.

The structure in CIF format:
```
data_Pr6Pd2C
_chemical_formula_sum 'Pr12 Pd4 C2'
_space_group_name_H-M_alt 'P 1 21/c 1'
_space_group_IT_number 14
_cell_length_a 6.751
_cell_length_b 7.441
_cell_length_c 12.115
_cell_angle_alpha 90.00
_cell_angle_beta 122.72
_cell_angle_gamma 90.00
loop_
_space_group_symop_operation_xyz
'x,y,z'
'-x,-y,-z'
'-x,y+1/2,-z+1/2'
'x,-y+1/2,z+1/2'
loop_
_atom_site_label
_atom_site_fract_x
_atom_site_fract_y
_atom_site_fract_z
_atom_site_occupancy
Pr1 0.115 0.035 0.239 1
Pr2 0.228 0.693 0.058 1
Pr3 0.373 0.173 0.059 1
Pd1 0.304 0.100 0.751 1
C1 0.000 0.000 0.000 1
```

E (eV per atom): -5.72
Density of states at the Fermi level (states/eV per atom): 1.04
Formation enthalpy at 0 K (eV/atom): -0.35

***

No. 5
## PdPtC2 (PBE)

Data for PdPtC2 after structural relaxation.

The structure in CIF format:
```
data_PdPtC2
_chemical_formula_sum 'Pd4 Pt4 C8'
_space_group_name_H-M_alt 'I -4 2 d'
_space_group_IT_number 122
_space_group_name_Hall 'I -4 2bw'
_cell_length_a 4.739
_cell_length_b 4.739
_cell_length_c 9.425
_cell_angle_alpha 90.00
_cell_angle_beta 90.00
_cell_angle_gamma 90.00
loop_
_atom_site_label
_atom_site_fract_x
_atom_site_fract_y
_atom_site_fract_z
_atom_site_occupancy
Pd1 0.000 0.000 0.000 1
Pt1 0.000 0.000 0.500 1
C1 0.240 0.250 0.625 1
```

E (eV per atom): -6.39
Excess energy over the best structure of this formula in the dataset (meV/atom): 0
Density of states at the Fermi level (states/eV per atom): 0.50
Formation enthalpy at 0 K (eV/atom): 1.03

***

No. 6
## Pd2PtC2 (PBE)

Data for Pd2PtC2 after structural relaxation.

The structure in CIF format:
```
data_Pd2PtC2
_chemical_formula_sum 'Pd4 Pt2 C4'
_space_group_name_H-M_alt 'I 4/m m m'
_space_group_IT_number 139
_space_group_name_Hall '-I 4 2'
_cell_length_a 3.970
_cell_length_b 3.970
_cell_length_c 7.567
_cell_angle_alpha 90.00
_cell_angle_beta 90.00
_cell_angle_gamma 90.00
loop_
_atom_site_label
_atom_site_fract_x
_atom_site_fract_y
_atom_site_fract_z
_atom_site_occupancy
Pd1 0.000 0.500 0.250 1
Pt1 0.000 0.000 0.000 1
C1 0.000 0.000 0.407 1
```

E (eV per atom): -6.07
Excess energy over the best structure of this formula in the dataset (meV/atom): 0
Density of states at the Fermi level (states/eV per atom): 0.64
Formation enthalpy at 0 K (eV/atom): 0.90

***

No. 7
## Pd2PtC2 (PBE)

Data for Pd2PtC2 after structural relaxation.

The structure in CIF format:
```
data_Pd2PtC2
_chemical_formula_sum 'Pd4 Pt2 C4'
_space_group_name_H-M_alt 'P 4/m b m'
_space_group_IT_number 127
_space_group_name_Hall '-P 4 2ab'
_cell_length_a 6.105
_cell_length_b 6.105
_cell_length_c 3.257
_cell_angle_alpha 90.00
_cell_angle_beta 90.00
_cell_angle_gamma 90.00
loop_
_atom_site_label
_atom_site_fract_x
_atom_site_fract_y
_atom_site_fract_z
_atom_site_occupancy
Pd1 0.160 0.340 0.000 1
Pt1 0.000 0.000 0.500 1
C1 0.183 0.683 0.500 1
```

E (eV per atom): -5.78
Excess energy over the best structure of this formula in the dataset (meV/atom): 295
Density of states at the Fermi level (states/eV per atom): 0.58
Formation enthalpy at 0 K (eV/atom): 1.20

***

No. 8
## PdPtC2 (PBE)

Data for PdPtC2 after structural relaxation.

The structure in CIF format:
```
data_PdPtC2
_chemical_formula_sum 'Pd4 Pt4 C8'
_space_group_name_H-M_alt 'F m -3 m'
_space_group_IT_number 225
_space_group_name_Hall '-F 4 2 3'
_cell_length_a 5.587
_cell_length_b 5.587
_cell_length_c 5.587
_cell_angle_alpha 90.00
_cell_angle_beta 90.00
_cell_angle_gamma 90.00
loop_
_atom_site_label
_atom_site_fract_x
_atom_site_fract_y
_atom_site_fract_z
_atom_site_occupancy
Pd1 0.000 0.000 0.000 1
Pt1 0.000 0.000 0.500 1
C1 0.250 0.250 0.250 1
```

E (eV per atom): -5.53
Excess energy over the best structure of this formula in the dataset (meV/atom): 855
Density of states at the Fermi level (states/eV per atom): 0.61
Formation enthalpy at 0 K (eV/atom): 1.89

***

No. 9
## RbPdPtC2 (PBE)

Data for RbPdPtC2 after structural relaxation.

The structure in CIF format:
```
data_RbPdPtC2
_chemical_formula_sum 'Rb1 Pd1 Pt1 C2'
_space_group_name_H-M_alt 'P 4/m m m'
_space_group_IT_number 123
_space_group_name_Hall '-P 4 2'
_cell_length_a 4.039
_cell_length_b 4.039
_cell_length_c 6.269
_cell_angle_alpha 90.00
_cell_angle_beta 90.00
_cell_angle_gamma 90.00
loop_
_atom_site_label
_atom_site_fract_x
_atom_site_fract_y
_atom_site_fract_z
_atom_site_occupancy
Rb1 0.000 0.000 0.000 1
Pd1 0.000 0.000 0.500 1
Pt1 0.500 0.500 0.000 1
C1 0.000 0.500 0.500 1
```

E (eV per atom): -3.95
Density of states at the Fermi level (states/eV per atom): 0.45
Formation enthalpy at 0 K (eV/atom): 2.18

***

No. 10
## RePdPt2C (PBE)

Data for RePdPt2C after structural relaxation.

The structure in CIF format:
```
data_RePdPt2C
_chemical_formula_sum 'Re1 Pd1 Pt2 C1'
_space_group_name_H-M_alt 'P 4/m m m'
_space_group_IT_number 123
_space_group_name_Hall '-P 4 2'
_cell_length_a 4.873
_cell_length_b 4.873
_cell_length_c 4.595
_cell_angle_alpha 90.00
_cell_angle_beta 90.00
_cell_angle_gamma 90.00
loop_
_atom_site_label
_atom_site_fract_x
_atom_site_fract_y
_atom_site_fract_z
_atom_site_occupancy
Re1 0.000 0.000 0.000 1
Pd1 0.000 0.000 0.500 1
Pt1 0.000 0.500 0.500 1
C1 0.500 0.500 0.000 1
```

E (eV per atom): -4.64
Density of states at the Fermi level (states/eV per atom): 1.45
Formation enthalpy at 0 K (eV/atom): 3.15

***

No. 11
## ScPdPtC2 (PBE)

Data for ScPdPtC2 after structural relaxation.

The structure in CIF format:
```
data_ScPdPtC2
_chemical_formula_sum 'Sc1 Pd1 Pt1 C2'
_space_group_name_H-M_alt 'P 4/m m m'
_space_group_IT_number 123
_space_group_name_Hall '-P 4 2'
_cell_length_a 4.156
_cell_length_b 4.156
_cell_length_c 4.949
_cell_angle_alpha 90.00
_cell_angle_beta 90.00
_cell_angle_gamma 90.00
loop_
_atom_site_label
_atom_site_fract_x
_atom_site_fract_y
_atom_site_fract_z
_atom_site_occupancy
Sc1 0.000 0.000 0.000 1
Pd1 0.500 0.500 0.500 1
Pt1 0.000 0.000 0.500 1
C1 0.000 0.500 0.000 1
```

E (eV per atom): -5.26
Density of states at the Fermi level (states/eV per atom): 0.82
Formation enthalpy at 0 K (eV/atom): 1.95

***

No. 12
## Sr2PdPtC (PBE)

Data for Sr2PdPtC after structural relaxation.

The structure in CIF format:
```
data_Sr2PdPtC
_chemical_formula_sum 'Sr2 Pd1 Pt1 C1'
_space_group_name_H-M_alt 'P 4/m m m'
_space_group_IT_number 123
_space_group_name_Hall '-P 4 2'
_cell_length_a 5.524
_cell_length_b 5.524
_cell_length_c 3.849
_cell_angle_alpha 90.00
_cell_angle_beta 90.00
_cell_angle_gamma 90.00
loop_
_atom_site_label
_atom_site_fract_x
_atom_site_fract_y
_atom_site_fract_z
_atom_site_occupancy
Sr1 0.000 0.500 0.000 1
Pd1 0.000 0.000 0.500 1
Pt1 0.500 0.500 0.500 1
C1 0.500 0.500 0.000 1
```

E (eV per atom): -5.12
Density of states at the Fermi level (states/eV per atom): 0.26
Formation enthalpy at 0 K (eV/atom): -0.35

***

No. 13
## Pd2PtWC (PBE)

Data for Pd2PtWC after structural relaxation.

The structure in CIF format:
```
data_Pd2PtWC
_chemical_formula_sum 'Pd2 Pt1 W1 C1'
_space_group_name_H-M_alt 'P 4/m m m'
_space_group_IT_number 123
_space_group_name_Hall '-P 4 2'
_cell_length_a 4.139
_cell_length_b 4.139
_cell_length_c 4.140
_cell_angle_alpha 90.00
_cell_angle_beta 90.00
_cell_angle_gamma 90.00
loop_
_atom_site_label
_atom_site_fract_x
_atom_site_fract_y
_atom_site_fract_z
_atom_site_occupancy
Pd1 0.000 0.500 0.000 1
Pt1 0.000 0.000 0.500 1
W1 0.500 0.500 0.500 1
C1 0.500 0.500 0.000 1
```

E (eV per atom): -7.39
Density of states at the Fermi level (states/eV per atom): 0.71
Formation enthalpy at 0 K (eV/atom): 0.33

***

No. 14
## RbPdC3 (PBE)

Data for RbPdC3 after structural relaxation.

The structure in CIF format:
```
data_RbPdC3
_chemical_formula_sum 'Rb1 Pd1 C3'
_space_group_name_H-M_alt 'P m -3 m'
_space_group_IT_number 221
_space_group_name_Hall '-P 4 2 3'
_cell_length_a 4.289
_cell_length_b 4.289
_cell_length_c 4.289
_cell_angle_alpha 90.00
_cell_angle_beta 90.00
_cell_angle_gamma 90.00
loop_
_atom_site_label
_atom_site_fract_x
_atom_site_fract_y
_atom_site_fract_z
_atom_site_occupancy
Rb1 0.000 0.000 0.000 1
Pd1 0.500 0.500 0.500 1
C1 0.000 0.500 0.500 1
```

E (eV per atom): -4.23
Excess energy over the best structure of this formula in the dataset (meV/atom): 0
Density of states at the Fermi level (states/eV per atom): 0.66
Formation enthalpy at 0 K (eV/atom): 2.54

***

No. 15
## Rb2PdC (PBE)

Data for Rb2PdC after structural relaxation.

The structure in CIF format:
```
data_Rb2PdC
_chemical_formula_sum 'Rb8 Pd4 C4'
_space_group_name_H-M_alt 'I -4 2 d'
_space_group_IT_number 122
_space_group_name_Hall 'I -4 2bw'
_cell_length_a 12.343
_cell_length_b 12.343
_cell_length_c 3.912
_cell_angle_alpha 90.00
_cell_angle_beta 90.00
_cell_angle_gamma 90.00
loop_
_atom_site_label
_atom_site_fract_x
_atom_site_fract_y
_atom_site_fract_z
_atom_site_occupancy
Rb1 0.038 0.250 0.125 1
Pd1 0.000 0.000 0.500 1
C1 0.000 0.000 0.000 1
```

E (eV per atom): -3.61
Density of states at the Fermi level (states/eV per atom): 0.38
Formation enthalpy at 0 K (eV/atom): 0.48

***

No. 16
## Rb2PdC2 (PBE)

Data for Rb2PdC2 after structural relaxation.

The structure in CIF format:
```
data_Rb2PdC2
_chemical_formula_sum 'Rb2 Pd1 C2'
_space_group_name_H-M_alt 'P -3 m 1'
_space_group_IT_number 164
_space_group_name_Hall '-P 3 2"'
_cell_length_a 5.4634
_cell_length_b 5.4634
_cell_length_c 5.3070
_cell_angle_alpha 90.00
_cell_angle_beta 90.00
_cell_angle_gamma 120.00
loop_
_atom_site_label
_atom_site_fract_x
_atom_site_fract_y
_atom_site_fract_z
_atom_site_occupancy
Rb1 0.3333 0.6667 0.2779 1
Pd1 0.0000 0.0000 0.0000 1
C1 0.0000 0.0000 0.3801 1
```

E (eV per atom): -5.08
Density of states at the Fermi level (states/eV per atom): 0.00
Formation enthalpy at 0 K (eV/atom): 0.04

***

No. 17
## RbPdC2 (PBE)

Data for RbPdC2 after structural relaxation.

The structure in CIF format:
```
data_RbPdC2
_chemical_formula_sum 'Rb4 Pd4 C8'
_space_group_name_H-M_alt 'I -4 2 d'
_space_group_IT_number 122
_space_group_name_Hall 'I -4 2bw'
_cell_length_a 6.214
_cell_length_b 6.214
_cell_length_c 8.483
_cell_angle_alpha 90.00
_cell_angle_beta 90.00
_cell_angle_gamma 90.00
loop_
_atom_site_label
_atom_site_fract_x
_atom_site_fract_y
_atom_site_fract_z
_atom_site_occupancy
Rb1 0.000 0.000 0.000 1
Pd1 0.000 0.000 0.500 1
C1 0.087 0.750 0.625 1
```

E (eV per atom): -4.63
Density of states at the Fermi level (states/eV per atom): 0.44
Formation enthalpy at 0 K (eV/atom): 1.52

***

No. 18
## RbPdC (PBE)

Data for RbPdC after structural relaxation.

The structure in CIF format:
```
data_RbPdC
_chemical_formula_sum 'Rb4 Pd4 C4'
_space_group_name_H-M_alt 'C 1 2/m 1'
_space_group_IT_number 12
_cell_length_a 13.227
_cell_length_b 4.486
_cell_length_c 5.681
_cell_angle_alpha 90.00
_cell_angle_beta 113.68
_cell_angle_gamma 90.00
loop_
_space_group_symop_operation_xyz
'x,y,z'
'-x,-y,-z'
'-x,y,-z'
'x,-y,z'
'x+1/2,y+1/2,z'
'-x+1/2,-y+1/2,-z'
'-x+1/2,y+1/2,-z'
'x+1/2,-y+1/2,z'
loop_
_atom_site_label
_atom_site_fract_x
_atom_site_fract_y
_atom_site_fract_z
_atom_site_occupancy
Rb1 0.110 0.000 0.389 1
Pd1 0.190 0.500 0.975 1
C1 0.045 0.500 0.985 1
```

E (eV per atom): -4.88
Density of states at the Fermi level (states/eV per atom): 0.04
Formation enthalpy at 0 K (eV/atom): 0.25

***

No. 19
## RbPdC2 (PBE)

Data for RbPdC2 after structural relaxation.

The structure in CIF format:
```
data_RbPdC2
_chemical_formula_sum 'Rb4 Pd4 C8'
_space_group_name_H-M_alt 'F m -3 m'
_space_group_IT_number 225
_space_group_name_Hall '-F 4 2 3'
_cell_length_a 6.189
_cell_length_b 6.189
_cell_length_c 6.189
_cell_angle_alpha 90.00
_cell_angle_beta 90.00
_cell_angle_gamma 90.00
loop_
_atom_site_label
_atom_site_fract_x
_atom_site_fract_y
_atom_site_fract_z
_atom_site_occupancy
Rb1 0.000 0.000 0.000 1
Pd1 0.000 0.000 0.500 1
C1 0.250 0.250 0.250 1
```

E (eV per atom): -3.50
Density of states at the Fermi level (states/eV per atom): 0.89
Formation enthalpy at 0 K (eV/atom): 2.65

***

No. 20
## RbPdC3 (PBE)

Data for RbPdC3 after structural relaxation.

The structure in CIF format:
```
data_RbPdC3
_chemical_formula_sum 'Rb1 Pd1 C3'
_space_group_name_H-M_alt 'P m -3 m'
_space_group_IT_number 221
_space_group_name_Hall '-P 4 2 3'
_cell_length_a 4.399
_cell_length_b 4.399
_cell_length_c 4.399
_cell_angle_alpha 90.00
_cell_angle_beta 90.00
_cell_angle_gamma 90.00
loop_
_atom_site_label
_atom_site_fract_x
_atom_site_fract_y
_atom_site_fract_z
_atom_site_occupancy
Rb1 0.000 0.000 0.000 1
Pd1 0.500 0.500 0.500 1
C1 0.000 0.000 0.500 1
```

E (eV per atom): -2.34
Excess energy over the best structure of this formula in the dataset (meV/atom): 1893
Density of states at the Fermi level (states/eV per atom): 0.66
Formation enthalpy at 0 K (eV/atom): 4.43